[1]
Below is a geometry-optimized K2TaCu structure, with properties calculated at the GGA-PBE level.

Cell: 5.4507 5.4507 5.4507 Å, 119.91 119.91 90.15°
With the nearest neighbours (Å) after each atom.
Atoms (fractional coordinates):
K 0.0000 0.0000 0.0000  4 K 3.34, 4 Cu 3.34
K 0.2500 0.7500 0.5000  4 Ta 3.34, 4 K 3.34
Ta 0.5000 0.5000 0.0000  4 Cu 3.34, 4 K 3.34
Cu 0.7500 0.2500 0.5000  4 K 3.34, 4 Ta 3.34

## Properties
Energy relative to the lowest polymorph listed for this composition (eV/atom): 0.781
DOS at the Fermi energy (states/eV/atom): 1.496
Total energy (eV/cell): -12.03
Magnetic moment (μB per formula unit): 4.05
Formation enthalpy at 0 K (eV/atom): 1.529

=====

[2]
Below is a geometry-optimized CdHSeN2 structure, with properties calculated at the GGA-PBE level.

Cell: 4.3521 4.3521 5.8049 Å, 90.00 90.00 90.00°
With the nearest neighbours (Å) after each atom.
Atoms (fractional coordinates):
N 0.5000 0.0000 0.0000  2 Cd 2.18
N 0.0000 0.5000 0.0000  2 Cd 2.18
Cd 0.0000 0.0000 0.0000  4 N 2.18
Se 0.0000 0.0000 0.5000  2 Cd 2.90, 4 H 3.08
H 0.5000 0.5000 0.5000  4 Se 3.08

## Properties
Energy relative to the lowest polymorph listed for this composition (eV/atom): 0.427
DOS at the Fermi energy (states/eV/atom): 0.315
Total energy (eV/cell): -13.30
Magnetic moment (μB per formula unit): 4.67

=====

[3]
Below is a geometry-optimized KPrBN2 structure, with properties calculated at the GGA-PBE level.

Cell: 5.9663 4.8668 7.4166 Å, 90.00 90.00 90.00°
With the nearest neighbours (Å) after each atom.
Atoms (fractional coordinates):
K 0.9834 0.5000 0.7500  4 B 3.06, 8 N 3.27-3.41
K 0.0166 0.5000 0.2500  4 B 3.06, 8 N 3.27-3.41
Pr 0.5078 0.0000 0.2500  4 N 2.47-2.48
Pr 0.4922 0.0000 0.7500  4 N 2.47-2.48
N 0.2249 0.0029 0.0044  1 B 1.34
N 0.7751 0.0029 0.5044  1 B 1.34
N 0.7751 0.9971 0.9956  1 B 1.34
N 0.2249 0.9971 0.4956  1 B 1.34
B 0.0000 0.0000 0.5000  2 N 1.34
B 0.0000 0.0000 0.0000  2 N 1.34

## Properties
Uncorrected formation energy (meV/atom): -782
DOS at the Fermi energy (states/eV/atom): 0.192
Total energy (eV/cell): -66.23
Magnetic moment (μB per formula unit): 0.00

=====

[4]
Below is a geometry-optimized SrCeY2Se4 structure, with properties calculated at the GGA-PBE level.

Cell: 4.1682 7.2779 7.2915 Å, 70.88 90.00 90.00°
With the nearest neighbours (Å) after each atom.
Atoms (fractional coordinates):
Se 0.5000 0.7654 0.2419  3 Y 2.90-2.93, 1 Ce 3.01, 2 Sr 3.04
Se 0.5000 0.2346 0.7581  3 Y 2.90-2.93, 1 Ce 3.01, 2 Sr 3.04
Se 0.0000 0.2370 0.2523  3 Y 2.90-2.92, 2 Ce 3.01, 1 Sr 3.03
Se 0.0000 0.7630 0.7477  3 Y 2.90-2.92, 2 Ce 3.01, 1 Sr 3.03
Y 0.5000 0.0000 0.5000  6 Se 2.92-2.93
Y 0.0000 0.0000 0.0000  6 Se 2.90
Ce 0.5000 0.5000 0.0000  6 Se 3.01
Sr 0.0000 0.5000 0.5000  6 Se 3.03-3.04

## Properties
Uncorrected formation energy (meV/atom): -1830
DOS at the Fermi energy (states/eV/atom): 1.122
Total energy (eV/cell): -49.12
Magnetic moment (μB per formula unit): 1.17

=====

[5]
Below is a geometry-optimized Cd3In3Pb2 structure, with properties calculated at the GGA-PBE level.

Cell: 3.2911 8.3082 16.5496 Å, 90.00 90.00 101.42°
With the nearest neighbours (Å) after each atom.
Atoms (fractional coordinates):
In 0.6468 0.2936 0.0511  5 Cd 3.23-3.50, 2 In 3.29, 3 Pb 3.30-3.46
In 0.5142 0.0283 0.7500  5 Cd 2.94-3.15
In 0.6468 0.2936 0.4489  5 Cd 3.23-3.50, 2 In 3.29, 3 Pb 3.30-3.46
In 0.4858 0.9717 0.2500  5 Cd 2.94-3.15
In 0.3532 0.7064 0.5511  5 Cd 3.23-3.50, 2 In 3.29, 3 Pb 3.30-3.46
In 0.3532 0.7064 0.9489  5 Cd 3.23-3.50, 2 In 3.29, 3 Pb 3.30-3.46
Cd 0.0198 0.0397 0.9121  3 Cd 2.98-3.29, 4 In 3.15-3.23
Cd 0.0198 0.0397 0.5879  3 Cd 2.98-3.29, 4 In 3.15-3.23
Cd 0.9802 0.9603 0.0879  3 Cd 2.98-3.29, 4 In 3.15-3.23
Cd 0.6661 0.3323 0.2500  1 In 2.94
Cd 0.3339 0.6677 0.7500  1 In 2.94
Cd 0.9802 0.9603 0.4121  3 Cd 2.98-3.29, 4 In 3.15-3.23
Pb 0.3087 0.6175 0.1432  3 Pb 3.29-3.54, 4 In 3.30-3.46, 4 Cd 3.35-3.37
Pb 0.6913 0.3826 0.8568  3 Pb 3.29-3.54, 4 In 3.30-3.46, 4 Cd 3.35-3.37
Pb 0.3087 0.6175 0.3568  3 Pb 3.29-3.54, 4 In 3.30-3.46, 4 Cd 3.35-3.37
Pb 0.6913 0.3826 0.6432  3 Pb 3.29-3.54, 4 In 3.30-3.46, 4 Cd 3.35-3.37

## Properties
DOS at the Fermi energy (states/eV/atom): 0.271
Total energy (eV/cell): -35.90
Magnetic moment (μB per formula unit): 0.00
Formation enthalpy at 0 K (eV/atom): 0.054

=====

[6]
Below is a geometry-optimized Nd8Co2Rh structure, with properties calculated at the GGA-PBE level.

Cell: 5.1672 6.7199 9.1960 Å, 99.86 106.32 90.00°
With the nearest neighbours (Å) after each atom.
Atoms (fractional coordinates):
Nd 0.6720 0.9649 0.3440  1 Co 2.64
Nd 0.3280 0.0351 0.6560  1 Co 2.64
Nd 0.1991 0.3434 0.3982  1 Co 2.63
Nd 0.9545 0.2159 0.9089  1 Co 2.94, 2 Rh 3.14
Nd 0.5872 0.4276 0.1743  1 Rh 3.01, 2 Nd 3.36
Nd 0.0455 0.7841 0.0911  1 Co 2.94, 2 Rh 3.14
Nd 0.8009 0.6566 0.6018  1 Co 2.63
Nd 0.4128 0.5724 0.8257  1 Rh 3.01, 2 Nd 3.36
Co 0.7920 0.2622 0.5839  3 Nd 2.63-2.94
Co 0.2080 0.7378 0.4161  3 Nd 2.63-2.94
Rh 0.5000 0.0000 0.0000  8 Nd 3.01-3.14

## Properties
Energy relative to the lowest polymorph listed for this composition (eV/atom): 0.000
DOS at the Fermi energy (states/eV/atom): 1.110
Total energy (eV/cell): -61.07
Magnetic moment (μB per formula unit): 0.00
Formation enthalpy at 0 K (eV/atom): -0.124

=====

[7]
Below is a geometry-optimized SiTc3Ir structure, with properties calculated at the GGA-PBE level.

Cell: 4.3266 4.3266 4.3266 Å, 90.00 90.00 90.00°
With the nearest neighbours (Å) after each atom.
Atoms (fractional coordinates):
Tc 0.0000 0.5000 0.0000  2 Si 2.16
Tc 0.5000 0.0000 0.0000  2 Si 2.16
Tc 0.0000 0.0000 0.5000  2 Si 2.16
Ir 0.5000 0.5000 0.5000  12 Tc 3.06
Si 0.0000 0.0000 0.0000  6 Tc 2.16

## Properties
Uncorrected formation energy (meV/atom): 972
Energy relative to the lowest polymorph listed for this composition (eV/atom): 0.000
DOS at the Fermi energy (states/eV/atom): 1.446
Total energy (eV/cell): -40.52
Magnetic moment (μB per formula unit): 0.00

=====

[8]
Below is a geometry-optimized GaFe2Co5Mo2 structure, with properties calculated at the GGA-PBE level.

Cell: 3.7396 8.0901 8.0901 Å, 90.00 90.00 90.00°
With the nearest neighbours (Å) after each atom.
Atoms (fractional coordinates):
Co 0.5000 0.4278 0.2963  2 Fe 2.35, 4 Co 2.47-2.56, 2 Ga 2.56
Co 0.5000 0.2037 0.0722  2 Fe 2.35, 4 Co 2.47-2.56, 2 Ga 2.56
Co 0.5000 0.2963 0.5722  2 Fe 2.35, 4 Co 2.47-2.56, 2 Ga 2.56
Co 0.5000 0.9278 0.2037  2 Fe 2.35, 4 Co 2.47-2.56, 2 Ga 2.56
Co 0.5000 0.7963 0.9278  2 Fe 2.35, 4 Co 2.47-2.56, 2 Ga 2.56
Co 0.5000 0.0000 0.5000  4 Fe 2.38, 4 Co 2.47, 4 Mo 2.67
Co 0.5000 0.0722 0.7963  2 Fe 2.35, 4 Co 2.47-2.56, 2 Ga 2.56
Co 0.5000 0.7037 0.4278  2 Fe 2.35, 4 Co 2.47-2.56, 2 Ga 2.56
Co 0.5000 0.5000 0.0000  4 Fe 2.38, 4 Co 2.47, 4 Mo 2.67
Co 0.5000 0.5722 0.7037  2 Fe 2.35, 4 Co 2.47-2.56, 2 Ga 2.56
Mo 0.0000 0.1663 0.3337  3 Fe 2.34-2.41
Mo 0.0000 0.8337 0.6663  3 Fe 2.34-2.41
Mo 0.0000 0.6663 0.1663  3 Fe 2.34-2.41
Mo 0.0000 0.3337 0.8337  3 Fe 2.34-2.41
Fe 0.0000 0.8709 0.3709  3 Mo 2.34-2.41, 6 Co 2.35-2.38
Fe 0.0000 0.6291 0.8709  3 Mo 2.34-2.41, 6 Co 2.35-2.38
Fe 0.0000 0.1291 0.6291  3 Mo 2.34-2.41, 6 Co 2.35-2.38
Fe 0.0000 0.3709 0.1291  3 Mo 2.34-2.41, 6 Co 2.35-2.38
Ga 0.0000 0.0000 0.0000  8 Co 2.56
Ga 0.0000 0.5000 0.5000  8 Co 2.56

## Properties
DOS at the Fermi energy (states/eV/atom): 0.961
Total energy (eV/cell): -152.36
Magnetic moment (μB per formula unit): 4.52
Formation enthalpy at 0 K (eV/atom): 0.096